# ScFe2Ni9 (PBE-GGA, optimized geometry)
data_ScFe2Ni9
_cell_length_a 3.603
_cell_length_b 3.603
_cell_length_c 10.795
_cell_angle_alpha 90.00
_cell_angle_beta 90.00
_cell_angle_gamma 90.00
_symmetry_space_group_name_H-M 'P 1'
_symmetry_Int_Tables_number 1
loop_
_symmetry_equiv_pos_as_xyz
'x,y,z'
loop_
_atom_site_label
_atom_site_type_symbol
_atom_site_fract_x
_atom_site_fract_y
_atom_site_fract_z
_atom_site_occupancy
Ni1 Ni 0.500 0.500 0.000 1
Ni2 Ni 0.500 0.500 0.339 1
Ni3 Ni 0.500 0.000 0.181 1
Ni4 Ni 0.000 0.500 0.819 1
Ni5 Ni 0.000 0.500 0.500 1
Ni6 Ni 0.500 0.000 0.500 1
Ni7 Ni 0.500 0.000 0.819 1
Ni8 Ni 0.500 0.500 0.661 1
Ni9 Ni 0.000 0.500 0.181 1
Sc1 Sc 0.000 0.000 0.000 1
Fe1 Fe 0.000 0.000 0.338 1
Fe2 Fe 0.000 0.000 0.662 1
# DOS at the Fermi energy in states/eV per atom: 0.763
# Symmetry: P4/mmm (123)
# Formation enthalpy at 0 K in eV/atom: -0.1807